No. 1
Material: Sr2TlCdPd
Method: DFT, PBE
State: optimized geometry

a b c (Å): 5.8399 5.8399 5.2522
angles (deg): 90.00 90.00 90.00
With the nearest neighbours (Å) after each atom.
Space group P4/mmm (No. 123)
Symmetry-distinct sites (fractional):
1 Sr 0.0000 0.5000 0.0000 (multiplicity 2)  2 Pd 2.92
2 Tl 0.0000 0.0000 0.5000 (multiplicity 1)  2 Pd 2.63
3 Cd 0.5000 0.5000 0.5000 (multiplicity 1)  8 Sr 3.93, 4 Tl 4.13
4 Pd 0.0000 0.0000 0.0000 (multiplicity 1)  2 Tl 2.63, 4 Sr 2.92

Computed properties:
Total energy = -13.36 eV/cell
Energy relative to the elements = -0.304 eV/atom
Magnetization = 0.00 μB/cell
ρ = 5.548 g cm⁻³

---

No. 2
Material: SrTlCd2Pd
Method: DFT, PBE
State: optimized geometry

a b c (Å): 5.2787 5.2787 5.6320
angles (deg): 90.00 90.00 90.00
With the nearest neighbours (Å) after each atom.
Space group P4/mmm (No. 123)
Symmetry-distinct sites (fractional):
1 Sr 0.0000 0.0000 0.0000 (multiplicity 1)  2 Pd 2.82
2 Tl 0.5000 0.5000 0.0000 (multiplicity 1)  4 Sr 3.73, 8 Cd 3.86
3 Cd 0.0000 0.5000 0.5000 (multiplicity 2)  2 Pd 2.64
4 Pd 0.0000 0.0000 0.5000 (multiplicity 1)  4 Cd 2.64, 2 Sr 2.82

Computed properties:
Total energy = -12.00 eV/cell
Energy relative to the elements = -0.186 eV/atom
Magnetization = 0.00 μB/cell
ρ = 6.595 g cm⁻³

---

No. 3
Material: SrTl2CdPd
Method: DFT, PBE
State: optimized geometry

a b c (Å): 5.3473 5.3473 5.2664
angles (deg): 90.00 90.00 90.00
With the nearest neighbours (Å) after each atom.
Space group P4/mmm (No. 123)
Symmetry-distinct sites (fractional):
1 Sr 0.0000 0.0000 0.0000 (multiplicity 1)  8 Tl 3.75, 4 Cd 3.78
2 Tl 0.0000 0.5000 0.5000 (multiplicity 2)  2 Pd 2.67
3 Cd 0.5000 0.5000 0.0000 (multiplicity 1)  2 Pd 2.63
4 Pd 0.5000 0.5000 0.5000 (multiplicity 1)  2 Cd 2.63, 4 Tl 2.67

Computed properties:
Total energy = -13.47 eV/cell
Energy relative to the elements = -0.189 eV/atom
Magnetization = 0.00 μB/cell
ρ = 7.887 g cm⁻³

---

No. 4
Material: SrTlCdPd
Method: DFT, PBE
State: optimized geometry

a b c (Å): 7.3688 7.3688 7.3688
angles (deg): 90.00 90.00 90.00
With the nearest neighbours (Å) after each atom.
Space group F-43m (No. 216)
Symmetry-distinct sites (fractional):
1 Sr 0.0000 0.0000 0.0000 (multiplicity 4)  4 Tl 3.19, 4 Pd 3.19
2 Tl 0.2500 0.2500 0.7500 (multiplicity 4)  4 Cd 3.19, 4 Sr 3.19
3 Cd 0.0000 0.0000 0.5000 (multiplicity 4)  4 Tl 3.19, 4 Pd 3.19
4 Pd 0.2500 0.2500 0.2500 (multiplicity 4)  4 Cd 3.19, 4 Sr 3.19

Computed properties:
Total energy = -45.00 eV/cell
Energy relative to the elements = -0.273 eV/atom
Magnetization = 0.00 μB/cell
ρ = 8.480 g cm⁻³

---

Please write out number 2 again, unchanged.
Material: SrTlCd2Pd
Method: DFT, PBE
State: optimized geometry

a b c (Å): 5.2787 5.2787 5.6320
angles (deg): 90.00 90.00 90.00
With the nearest neighbours (Å) after each atom.
Space group P4/mmm (No. 123)
Symmetry-distinct sites (fractional):
1 Sr 0.0000 0.0000 0.0000 (multiplicity 1)  2 Pd 2.82
2 Tl 0.5000 0.5000 0.0000 (multiplicity 1)  4 Sr 3.73, 8 Cd 3.86
3 Cd 0.0000 0.5000 0.5000 (multiplicity 2)  2 Pd 2.64
4 Pd 0.0000 0.0000 0.5000 (multiplicity 1)  4 Cd 2.64, 2 Sr 2.82

Computed properties:
Total energy = -12.00 eV/cell
Energy relative to the elements = -0.186 eV/atom
Magnetization = 0.00 μB/cell
ρ = 6.595 g cm⁻³

---

Q: What is the total energy in the fourth record?
A: -45.00 eV/cell

---

Copy entry 4 word for word.
Material: SrTlCdPd
Method: DFT, PBE
State: optimized geometry

a b c (Å): 7.3688 7.3688 7.3688
angles (deg): 90.00 90.00 90.00
With the nearest neighbours (Å) after each atom.
Space group F-43m (No. 216)
Symmetry-distinct sites (fractional):
1 Sr 0.0000 0.0000 0.0000 (multiplicity 4)  4 Tl 3.19, 4 Pd 3.19
2 Tl 0.2500 0.2500 0.7500 (multiplicity 4)  4 Cd 3.19, 4 Sr 3.19
3 Cd 0.0000 0.0000 0.5000 (multiplicity 4)  4 Tl 3.19, 4 Pd 3.19
4 Pd 0.2500 0.2500 0.2500 (multiplicity 4)  4 Cd 3.19, 4 Sr 3.19

Computed properties:
Total energy = -45.00 eV/cell
Energy relative to the elements = -0.273 eV/atom
Magnetization = 0.00 μB/cell
ρ = 8.480 g cm⁻³